# GGA-PBEsol ZrNi2Ir, relaxed
# VASP energy   -8.08 eV per atom
# Space group   F-43m
# V   56 Å³/f.u.
# Formation enthalpy at 0 K   -0.275 eV/atom
data_ZrNi2Ir
_chemical_formula_sum 'Zr1 Ni2 Ir1'
_space_group_name_H-M_alt 'P 1'
_space_group_IT_number 1
_cell_length_a 4.3028
_cell_length_b 4.3028
_cell_length_c 4.3028
_cell_angle_alpha 60.00
_cell_angle_beta 60.00
_cell_angle_gamma 60.00
loop_
_space_group_symop_operation_xyz
'x,y,z'
loop_
_atom_site_label
_atom_site_fract_x
_atom_site_fract_y
_atom_site_fract_z
Ir1 0.5000 0.5000 0.5000
Ni1 0.0000 0.0000 0.0000
Ni2 0.7500 0.7500 0.7500
Zr1 0.2500 0.2500 0.2500


# GGA-PBEsol LaY2Mg, relaxed
# VASP energy   -5.20 eV per atom
# Space group   Immm
# V   121 Å³/f.u.
# Formation enthalpy at 0 K   -0.020 eV/atom
data_LaY2Mg
_chemical_formula_sum 'La1 Y2 Mg1'
_space_group_name_H-M_alt 'P 1'
_space_group_IT_number 1
_cell_length_a 3.7887
_cell_length_b 5.6190
_cell_length_c 6.6030
_cell_angle_alpha 115.18
_cell_angle_beta 106.67
_cell_angle_gamma 90.00
loop_
_space_group_symop_operation_xyz
'x,y,z'
loop_
_atom_site_label
_atom_site_fract_x
_atom_site_fract_y
_atom_site_fract_z
Mg1 0.5000 0.0000 0.0000
Y1 0.2283 0.2283 0.4566
Y2 0.7717 0.7717 0.5434
La1 0.0000 0.5000 0.0000


# GGA-PBEsol CoIrPt2, relaxed
# VASP energy   -7.87 eV per atom
# Space group   Cmmm
# V   55 Å³/f.u.
# Formation enthalpy at 0 K   0.003 eV/atom
# Energy above the most stable polymorph in this dataset   0.001 eV per atom
data_CoIrPt2
_chemical_formula_sum 'Co1 Ir1 Pt2'
_space_group_name_H-M_alt 'P 1'
_space_group_IT_number 1
_cell_length_a 2.6947
_cell_length_b 4.6706
_cell_length_c 4.6706
_cell_angle_alpha 110.00
_cell_angle_beta 90.00
_cell_angle_gamma 90.00
loop_
_space_group_symop_operation_xyz
'x,y,z'
loop_
_atom_site_label
_atom_site_fract_x
_atom_site_fract_y
_atom_site_fract_z
Pt1 0.0000 0.5000 0.0000
Pt2 0.0000 0.0000 0.5000
Co1 0.5000 0.0000 0.0000
Ir1 0.5000 0.5000 0.5000


# GGA-PBEsol ScGaCu2Ag, relaxed
# VASP energy   -3.89 eV per atom
# Space group   P4/mmm
# V   97 Å³/f.u.
# Formation enthalpy at 0 K   0.490 eV/atom
data_ScGaCu2Ag
_chemical_formula_sum 'Sc1 Ga1 Cu2 Ag1'
_space_group_name_H-M_alt 'P 1'
_space_group_IT_number 1
_cell_length_a 4.4174
_cell_length_b 4.4174
_cell_length_c 4.9659
_cell_angle_alpha 90.00
_cell_angle_beta 90.00
_cell_angle_gamma 90.00
loop_
_space_group_symop_operation_xyz
'x,y,z'
loop_
_atom_site_label
_atom_site_fract_x
_atom_site_fract_y
_atom_site_fract_z
Ga1 0.0000 0.0000 0.0000
Ag1 0.5000 0.5000 0.5000
Cu1 0.5000 0.0000 0.0000
Cu2 0.0000 0.5000 0.0000
Sc1 0.0000 0.0000 0.5000


# GGA-PBEsol Hf2BeZnO, relaxed
# VASP energy   -5.61 eV per atom
# Space group   P4/mmm
# V   90 Å³/f.u.
# E_form (uncorrected)   759 meV per atom
data_Hf2BeZnO
_chemical_formula_sum 'Hf2 Be1 Zn1 O1'
_space_group_name_H-M_alt 'P 1'
_space_group_IT_number 1
_cell_length_a 3.4943
_cell_length_b 5.0614
_cell_length_c 5.0614
_cell_angle_alpha 90.00
_cell_angle_beta 90.00
_cell_angle_gamma 90.00
loop_
_space_group_symop_operation_xyz
'x,y,z'
loop_
_atom_site_label
_atom_site_fract_x
_atom_site_fract_y
_atom_site_fract_z
Hf1 0.0000 0.5000 0.0000
Hf2 0.0000 0.0000 0.5000
O1 0.5000 0.0000 0.0000
Zn1 0.0000 0.0000 0.0000
Be1 0.5000 0.5000 0.5000


# GGA-PBEsol Co2TcSe, relaxed
# VASP energy   -7.41 eV per atom
# Space group   Cm
# V   50 Å³/f.u.
# E_form (uncorrected)   236 meV per atom
data_Co2TcSe
_chemical_formula_sum 'Co2 Tc1 Se1'
_space_group_name_H-M_alt 'P 1'
_space_group_IT_number 1
_cell_length_a 2.7437
_cell_length_b 4.2333
_cell_length_c 4.5817
_cell_angle_alpha 99.64
_cell_angle_beta 90.00
_cell_angle_gamma 108.91
loop_
_space_group_symop_operation_xyz
'x,y,z'
loop_
_atom_site_label
_atom_site_fract_x
_atom_site_fract_y
_atom_site_fract_z
Se1 0.5052 0.0104 0.5499
Co1 0.2506 0.5012 0.7473
Co2 0.9992 0.9985 0.9893
Tc1 0.7450 0.4900 0.2135


# GGA-PBEsol CaAlN2, relaxed
# VASP energy   -5.95 eV per atom
# Space group   R-3m
# V   67 Å³/f.u.
# E_form (uncorrected)   -132 meV per atom
data_CaAlN2
_chemical_formula_sum 'Ca1 Al1 N2'
_space_group_name_H-M_alt 'P 1'
_space_group_IT_number 1
_cell_length_a 3.5631
_cell_length_b 3.5631
_cell_length_c 6.3965
_cell_angle_alpha 73.83
_cell_angle_beta 73.83
_cell_angle_gamma 60.00
loop_
_space_group_symop_operation_xyz
'x,y,z'
loop_
_atom_site_label
_atom_site_fract_x
_atom_site_fract_y
_atom_site_fract_z
N1 0.0961 0.0961 0.7118
N2 0.9039 0.9039 0.2882
Ca1 0.5000 0.5000 0.5000
Al1 0.0000 0.0000 0.0000


# GGA-PBEsol KAl2Co, relaxed
# VASP energy   -4.24 eV per atom
# Space group   P4/mmm
# V   73 Å³/f.u.
# Formation enthalpy at 0 K   0.026 eV/atom
# Energy above the most stable polymorph in this dataset   0.000 eV per atom
data_KAl2Co
_chemical_formula_sum 'K1 Al2 Co1'
_space_group_name_H-M_alt 'P 1'
_space_group_IT_number 1
_cell_length_a 2.9102
_cell_length_b 2.9102
_cell_length_c 8.5646
_cell_angle_alpha 90.00
_cell_angle_beta 90.00
_cell_angle_gamma 90.00
loop_
_space_group_symop_operation_xyz
'x,y,z'
loop_
_atom_site_label
_atom_site_fract_x
_atom_site_fract_y
_atom_site_fract_z
Al1 0.0000 0.0000 0.1620
Al2 0.0000 0.0000 0.8380
K1 0.5000 0.5000 0.5000
Co1 0.5000 0.5000 0.0000


# GGA-PBEsol Na4PH5Se3O16, relaxed
# VASP energy   -5.54 eV per atom
# Space group   P1
# V   346 Å³/f.u.
data_Na4PH5Se3O16
_chemical_formula_sum 'Na4 P1 H5 Se3 O16'
_space_group_name_H-M_alt 'P 1'
_space_group_IT_number 1
_cell_length_a 7.1195
_cell_length_b 7.0683
_cell_length_c 7.0944
_cell_angle_alpha 85.00
_cell_angle_beta 80.02
_cell_angle_gamma 80.10
loop_
_space_group_symop_operation_xyz
'x,y,z'
loop_
_atom_site_label
_atom_site_fract_x
_atom_site_fract_y
_atom_site_fract_z
O1 0.6810 0.4607 0.4354
O2 0.8989 0.6857 0.6394
O3 0.6678 0.0002 0.5042
O4 0.8531 0.0223 0.8075
O5 0.3381 0.5488 0.5867
O6 0.3215 0.9907 0.4920
O7 0.1946 0.6271 0.9198
O8 0.1357 0.9763 0.1978
O9 0.5430 0.8295 0.8394
O10 0.7974 0.3538 0.0645
O11 0.8877 0.6845 0.1639
O12 0.1098 0.3214 0.3551
O13 0.5137 0.6647 0.1623
O14 0.4901 0.3704 0.8473
O15 0.1571 0.3036 0.8068
O16 0.4584 0.1543 0.1555
Na1 0.7930 0.0331 0.1710
Na2 0.1502 0.6549 0.3533
Na3 0.2042 0.9688 0.8328
Na4 0.8503 0.3574 0.7066
H1 0.5365 0.7337 0.0174
H2 0.4729 0.9960 0.4955
H3 0.4823 0.5130 0.5221
H4 0.0625 0.6243 0.0029
H5 0.4786 0.2851 0.9729
Se1 0.7296 0.5307 0.2066
Se2 0.7452 0.8819 0.6993
Se3 0.2504 0.1215 0.2905
P1 0.2859 0.4517 0.7913


# GGA-PBEsol Na2Cu4P2ClO9, relaxed
# VASP energy   -5.97 eV per atom
# Space group   Cmcm
# V   222 Å³/f.u.
# E_form (uncorrected)   -1469 meV per atom
data_Na2Cu4P2ClO9
_chemical_formula_sum 'Na4 Cu8 P4 Cl2 O18'
_space_group_name_H-M_alt 'P 1'
_space_group_IT_number 1
_cell_length_a 6.4375
_cell_length_b 8.4520
_cell_length_c 8.4520
_cell_angle_alpha 105.15
_cell_angle_beta 90.00
_cell_angle_gamma 90.00
loop_
_space_group_symop_operation_xyz
'x,y,z'
loop_
_atom_site_label
_atom_site_fract_x
_atom_site_fract_y
_atom_site_fract_z
O1 0.0531 0.9851 0.7418
O2 0.2500 0.5062 0.7895
O3 0.7500 0.4573 0.9000
O4 0.7500 0.2105 0.4938
O5 0.4469 0.7418 0.9851
O6 0.9469 0.0149 0.2582
O7 0.7500 0.9113 0.9113
O8 0.0531 0.7418 0.9851
O9 0.7500 0.9000 0.4573
O10 0.7500 0.4938 0.2105
O11 0.4469 0.9851 0.7418
O12 0.2500 0.5427 0.1000
O13 0.5531 0.0149 0.2582
O14 0.2500 0.0887 0.0887
O15 0.2500 0.1000 0.5427
O16 0.5531 0.2582 0.0149
O17 0.2500 0.7895 0.5062
O18 0.9469 0.2582 0.0149
P1 0.2500 0.6325 0.9613
P2 0.7500 0.3675 0.0387
P3 0.7500 0.0387 0.3675
P4 0.2500 0.9613 0.6325
Cl1 0.2500 0.3957 0.3957
Cl2 0.7500 0.6043 0.6043
Cu1 0.5000 0.0000 0.0000
Cu2 0.2500 0.0899 0.3141
Cu3 0.7500 0.3799 0.3799
Cu4 0.7500 0.6859 0.9101
Cu5 0.7500 0.9101 0.6859
Cu6 0.2500 0.6201 0.6201
Cu7 0.2500 0.3141 0.0899
Cu8 0.0000 0.0000 0.0000
Na1 0.0000 0.7034 0.2966
Na2 0.5000 0.7034 0.2966
Na3 0.0000 0.2966 0.7034
Na4 0.5000 0.2966 0.7034


Density for the records above, in order: 11.8 4.7 19.3 6.0 8.3 9.9 2.4 3.5 3.0 4.1 g cm⁻³